# 1
Zn2CoCu4Ni: relaxed, PBE.

a = 4.0653 Å, b = 4.0653 Å, c = 5.7440 Å
α = 90.00°, β = 90.00°, γ = 90.00°
Fractional positions:
1 Zn 0.0000 0.0000 0.0000
2 Zn 0.5000 0.5000 0.5000
3 Co 0.0000 0.0000 0.5000
4 Cu 0.0000 0.5000 0.2501
5 Cu 0.0000 0.5000 0.7499
6 Cu 0.5000 0.0000 0.2501
7 Cu 0.5000 0.0000 0.7499
8 Ni 0.5000 0.5000 0.0000

Values from the calculation:
Crystal system: tetragonal
ΔE_f in eV per formula unit: 0.19

=====

# 2
TaTcB: relaxed, PBE.

a = 5.7428 Å, b = 5.7428 Å, c = 5.7428 Å
α = 90.00°, β = 90.00°, γ = 90.00°
Fractional positions:
1 Ta 0.0000 0.0000 0.0000
2 Ta 0.0000 0.5000 0.5000
3 Ta 0.5000 0.0000 0.5000
4 Ta 0.5000 0.5000 0.0000
5 Tc 0.2500 0.2500 0.7500
6 Tc 0.2500 0.7500 0.2500
7 Tc 0.7500 0.2500 0.2500
8 Tc 0.7500 0.7500 0.7500
9 B 0.0000 0.0000 0.5000
10 B 0.0000 0.5000 0.0000
11 B 0.5000 0.0000 0.0000
12 B 0.5000 0.5000 0.5000

Values from the calculation:
Crystal system: cubic
E_tot in eV per atom: -8.758